# 1
# PBE CeEr2Pb, relaxed
data_CeEr2Pb
_cell_length_a 4.667
_cell_length_b 4.752
_cell_length_c 11.541
_cell_angle_alpha 90.00
_cell_angle_beta 101.48
_cell_angle_gamma 90.00
_space_group_name_H-M_alt 'P 1'
_space_group_IT_number 1
_space_group_name_Hall 'P 1'
loop_
_atom_site_label
_atom_site_type_symbol
_atom_site_fract_x
_atom_site_fract_y
_atom_site_fract_z
Ce1 Ce 0.191 0.250 0.387
Ce2 Ce 0.809 0.750 0.613
Er1 Er 0.055 0.750 0.111
Er2 Er 0.439 0.750 0.877
Er3 Er 0.561 0.250 0.123
Er4 Er 0.945 0.250 0.889
Pb1 Pb 0.342 0.250 0.677
Pb2 Pb 0.658 0.750 0.323
# Space-group type = P2_1/m, No. 11
# Size of the total moment = 0.405 μB/atom
# Distance to the lowest polymorph of the same formula = 0.0317 eV/atom

=====

# 2
# PBE KBi, relaxed
data_KBi
_cell_length_a 4.326
_cell_length_b 21.534
_cell_length_c 5.898
_cell_angle_alpha 90.00
_cell_angle_beta 90.00
_cell_angle_gamma 90.00
_space_group_name_H-M_alt 'P 1'
_space_group_IT_number 1
_space_group_name_Hall 'P 1'
loop_
_atom_site_label
_atom_site_type_symbol
_atom_site_fract_x
_atom_site_fract_y
_atom_site_fract_z
K1 K 0.000 0.000 0.000
K2 K 0.000 0.337 0.500
K3 K 0.000 0.663 0.500
K4 K 0.500 0.163 0.500
K5 K 0.500 0.500 0.000
K6 K 0.500 0.837 0.500
Bi1 Bi 0.000 0.202 0.000
Bi2 Bi 0.000 0.500 0.500
Bi3 Bi 0.000 0.798 0.000
Bi4 Bi 0.500 0.000 0.500
Bi5 Bi 0.500 0.298 0.000
Bi6 Bi 0.500 0.702 0.000
# Space-group type = Cmmm, No. 65
# Raw total energy = -2.694 eV/atom
# Size of the total moment = 0.101 μB/atom

=====

# 3
# PBE Rb2InSiF6, relaxed
data_Rb2InSiF6
_cell_length_a 6.964
_cell_length_b 6.964
_cell_length_c 6.964
_cell_angle_alpha 126.57
_cell_angle_beta 126.57
_cell_angle_gamma 78.95
_space_group_name_H-M_alt 'P 1'
_space_group_IT_number 1
_space_group_name_Hall 'P 1'
loop_
_atom_site_label
_atom_site_type_symbol
_atom_site_fract_x
_atom_site_fract_y
_atom_site_fract_z
Rb1 Rb 0.250 0.750 0.500
Rb2 Rb 0.750 0.250 0.500
In1 In 0.000 0.000 0.000
Si1 Si 0.500 0.500 0.000
F1 F 0.305 0.305 0.611
F2 F 0.305 0.695 0.000
F3 F 0.340 0.340 0.000
F4 F 0.660 0.660 0.000
F5 F 0.695 0.305 0.000
F6 F 0.695 0.695 0.389
# Space-group type = I4/mmm, No. 139
# Formation energy from raw total energies = -2.57 eV per atom
# Size of the total moment = 0.100 μB/atom

=====

# 4
# PBE LaHS, relaxed
data_LaHS
_cell_length_a 3.816
_cell_length_b 3.816
_cell_length_c 7.963
_cell_angle_alpha 90.00
_cell_angle_beta 90.00
_cell_angle_gamma 90.00
_space_group_name_H-M_alt 'P 1'
_space_group_IT_number 1
_space_group_name_Hall 'P 1'
loop_
_atom_site_label
_atom_site_type_symbol
_atom_site_fract_x
_atom_site_fract_y
_atom_site_fract_z
La1 La 0.000 0.000 0.000
La2 La 0.500 0.500 0.500
H1 H 0.000 0.000 0.695
H2 H 0.500 0.500 0.195
S1 S 0.000 0.000 0.358
S2 S 0.500 0.500 0.858
# Space-group type = I4mm, No. 107
# Raw total energy = -5.289 eV/atom
# Size of the total moment = 0.000 μB/atom

=====

# 5
# PBE Pm2PrNd3Tm6, relaxed
data_Pm2PrNd3Tm6
_cell_length_a 6.223
_cell_length_b 6.223
_cell_length_c 11.727
_cell_angle_alpha 95.06
_cell_angle_beta 95.06
_cell_angle_gamma 119.98
_space_group_name_H-M_alt 'P 1'
_space_group_IT_number 1
_space_group_name_Hall 'P 1'
loop_
_atom_site_label
_atom_site_type_symbol
_atom_site_fract_x
_atom_site_fract_y
_atom_site_fract_z
Pm1 Pm 0.167 0.833 0.000
Pm2 Pm 0.833 0.167 0.000
Pr1 Pr 0.500 0.500 0.000
Nd1 Nd 0.000 0.000 0.500
Nd2 Nd 0.333 0.667 0.500
Nd3 Nd 0.667 0.333 0.500
Tm1 Tm 0.083 0.416 0.750
Tm2 Tm 0.250 0.250 0.250
Tm3 Tm 0.416 0.083 0.750
Tm4 Tm 0.584 0.917 0.250
Tm5 Tm 0.750 0.750 0.750
Tm6 Tm 0.917 0.584 0.250
# Space-group type = C2/m, No. 12
# Raw total energy = -4.602 eV/atom
# Size of the total moment = 0.000 μB/atom

=====

# 6
# PBE Pr3Y12Er, relaxed
data_Pr3Y12Er
_cell_length_a 5.084
_cell_length_b 5.084
_cell_length_c 20.345
_cell_angle_alpha 90.00
_cell_angle_beta 90.00
_cell_angle_gamma 90.00
_space_group_name_H-M_alt 'P 1'
_space_group_IT_number 1
_space_group_name_Hall 'P 1'
loop_
_atom_site_label
_atom_site_type_symbol
_atom_site_fract_x
_atom_site_fract_y
_atom_site_fract_z
Pr1 Pr 0.000 0.000 0.000
Pr2 Pr 0.000 0.000 0.251
Pr3 Pr 0.000 0.000 0.749
Y1 Y 0.000 0.500 0.126
Y2 Y 0.000 0.500 0.377
Y3 Y 0.000 0.500 0.623
Y4 Y 0.000 0.500 0.874
Y5 Y 0.500 0.000 0.126
Y6 Y 0.500 0.000 0.377
Y7 Y 0.500 0.000 0.623
Y8 Y 0.500 0.000 0.874
Y9 Y 0.500 0.500 0.000
Y10 Y 0.500 0.500 0.252
Y11 Y 0.500 0.500 0.500
Y12 Y 0.500 0.500 0.748
Er1 Er 0.000 0.000 0.500
# Space-group type = P4/mmm, No. 123
# Raw total energy = -6.006 eV/atom
# Size of the total moment = 0.000 μB/atom